Crystalline Ce2ZnCu4Si3 at its relaxed geometry. Source: the Alexandria database, functional PBE.

Calculated values
**DFT total energy**: -5.057 eV/atom
**Mass density**: 6.837 g/cm3

abc: 4.0980 4.0980 9.8930
angles: 90.00 90.00 90.00
Space group P-4m2 (No. 115)
Symmetry-distinct sites (fractional):
Ce 0.0000 0.5000 0.2439 x2
Zn 0.0000 0.0000 0.5000 x1
Cu 0.0000 0.0000 0.0000 x1
Cu 0.0000 0.5000 0.6333 x2
Cu 0.5000 0.5000 0.0000 x1
Si 0.0000 0.5000 0.8687 x2
Si 0.5000 0.5000 0.5000 x1